This record from the Alexandria database describes an optimized crystal structure of Sc2GaH. The functional is GGA-PBE.

```
Sc2GaH
1.0
3.0335 0.0000 0.0000
0.0000 3.0335 0.0000
0.0000 0.0000 6.8574
Sc Ga H
2 1 1
direct
0.0000 0.0000 0.2197 Sc
0.0000 0.0000 0.7803 Sc
0.5000 0.5000 0.5000 Ga
0.5000 0.5000 0.0000 H
```

Properties
Magnetic moment in μB per formula unit: 0.62
DFT total energy in eV/atom: -4.9517
Excess energy over the best structure of this formula in the dataset in meV per atom: 337.8